! PBE-GGA KCe4Cu3O12, optimized geometry; values from VASP
&SYSTEM
  ibrav = 0, nat = 20, ntyp = 4
/
ATOMIC_SPECIES
O 16.00 O.upf
Ce 140.12 Ce.upf
K 39.10 K.upf
Cu 63.55 Cu.upf
CELL_PARAMETERS angstrom
-3.5862 -4.1731 -4.5175
5.4658 -3.6337 2.7575
-4.3365 2.1027 5.2399
ATOMIC_POSITIONS crystal
O 0.8339 0.6742 0.1597
Ce 0.5000 0.5000 0.5000
O 0.1661 0.3258 0.8403
O 0.6742 0.8403 0.5145
O 0.4855 0.3258 0.1597
O 0.6742 0.1597 0.8339
K 0.0000 0.0000 0.0000
Ce 0.5000 0.0000 0.0000
O 0.1597 0.8339 0.6742
Cu 0.0000 0.5000 0.5000
Cu 0.5000 0.0000 0.5000
O 0.5145 0.6742 0.8403
O 0.8403 0.5145 0.6742
O 0.1597 0.4855 0.3258
O 0.8403 0.1661 0.3258
O 0.3258 0.1597 0.4855
Ce 0.0000 0.5000 0.0000
Cu 0.5000 0.5000 0.0000
O 0.3258 0.8403 0.1661
Ce 0.0000 0.0000 0.5000
! calculated total energy = -7.0755 eV/atom
! total magnetic moment = 2.03 Bohr magnetons per cell
! energy relative to the elements, uncorrected = -2244.5 meV per atom
! density of states at the Fermi level = 9.811 states/eV/f.u.